Compound: CaCoAu2F
Source: Alexandria via LeMat-Bulk
Functional: PBE with a Hubbard U
Structure: optimized geometry

CIF file:
```
data_CaCoAu2F
_cell_length_a 5.1756
_cell_length_b 5.1756
_cell_length_c 4.0681
_cell_angle_alpha 90.00
_cell_angle_beta 90.00
_cell_angle_gamma 90.00
_symmetry_space_group_name_H-M 'P 1'
_symmetry_Int_Tables_number 1
_symmetry_space_group_name_Hall 'P 1'
loop_
_atom_site_label
_atom_site_type_symbol
_atom_site_fract_x
_atom_site_fract_y
_atom_site_fract_z
Ca1 Ca 0.0000 0.0000 0.0000
Co1 Co 0.5000 0.5000 0.0000
Au1 Au 0.0000 0.5000 0.5000
Au2 Au 0.5000 0.0000 0.5000
F1 F 0.0000 0.0000 0.5000
```

- Density: 7.80 g/cm³
- Spin magnetization: 2.04 Bohr magnetons per cell
- DFT total energy: -3.470 eV per atom